# CsSc3Tc PBE relaxed
# ρ: 4.2 Mg/m³
# volume: 29.2 Å³ per atom
# E: -5.658 eV per atom
# total moment: 0.00 Bohr magnetons per cell
data_CsSc3Tc
_cell_length_a 5.267
_cell_length_b 5.267
_cell_length_c 5.267
_cell_angle_alpha 90.00
_cell_angle_beta 90.00
_cell_angle_gamma 90.00
_space_group_name_H-M_alt 'P m -3 m'
_space_group_IT_number 221
_space_group_name_Hall '-P 4 2 3'
loop_
_atom_site_label
_atom_site_type_symbol
_atom_site_fract_x
_atom_site_fract_y
_atom_site_fract_z
_atom_site_occupancy
Cs1 Cs 0.000 0.000 0.000 1
Sc1 Sc 0.000 0.500 0.500 1
Tc1 Tc 0.500 0.500 0.500 1

---

# LiTmSi2Pt2 PBE relaxed
# ρ: 10.4 Mg/m³
# volume: 16.5 Å³ per atom
# E: -5.865 eV per atom
# formation energy without anion corrections: -0.979 eV/atom
# total moment: 0.00 Bohr magnetons per cell
data_LiTmSi2Pt2
_cell_length_a 4.2058
_cell_length_b 4.2058
_cell_length_c 6.4744
_cell_angle_alpha 90.00
_cell_angle_beta 90.00
_cell_angle_gamma 120.00
_space_group_name_H-M_alt 'P -3 m 1'
_space_group_IT_number 164
_space_group_name_Hall '-P 3 2"'
loop_
_atom_site_label
_atom_site_type_symbol
_atom_site_fract_x
_atom_site_fract_y
_atom_site_fract_z
_atom_site_occupancy
Li1 Li 0.0000 0.0000 0.0000 1
Tm1 Tm 0.0000 0.0000 0.5000 1
Si1 Si 0.3333 0.6667 0.8041 1
Pt1 Pt 0.3333 0.6667 0.2074 1

---

# Er2PdPt9 PBE relaxed
# energy above the lowest structure with this stoichiometry: 0 meV per atom
# ρ: 18.2 Mg/m³
# volume: 16.7 Å³ per atom
# E: -6.423 eV per atom
# total moment: 0.00 Bohr magnetons per cell
data_Er2PdPt9
_cell_length_a 4.049
_cell_length_b 4.049
_cell_length_c 12.227
_cell_angle_alpha 90.00
_cell_angle_beta 90.00
_cell_angle_gamma 90.00
_space_group_name_H-M_alt 'P 4/m m m'
_space_group_IT_number 123
_space_group_name_Hall '-P 4 2'
loop_
_atom_site_label
_atom_site_type_symbol
_atom_site_fract_x
_atom_site_fract_y
_atom_site_fract_z
_atom_site_occupancy
Er1 Er 0.000 0.000 0.170 1
Pd1 Pd 0.000 0.000 0.500 1
Pt1 Pt 0.000 0.500 0.000 1
Pt2 Pt 0.000 0.500 0.339 1
Pt3 Pt 0.500 0.500 0.169 1
Pt4 Pt 0.500 0.500 0.500 1

---

# ZrTcHgO6 PBE relaxed
# ρ: 6.5 Mg/m³
# volume: 13.8 Å³ per atom
# E: -7.072 eV per atom
# formation energy without anion corrections: -1.631 eV/atom
# total moment: 0.00 Bohr magnetons per cell
data_ZrTcHgO6
_cell_length_a 5.3949
_cell_length_b 5.3949
_cell_length_c 4.9370
_cell_angle_alpha 90.00
_cell_angle_beta 90.00
_cell_angle_gamma 120.00
_space_group_name_H-M_alt 'P 3 1 2'
_space_group_IT_number 149
loop_
_space_group_symop_operation_xyz
'x,y,z'
'-y,x-y,z'
'-x+y,-x,z'
'-y,-x,-z'
'-x+y,y,-z'
'x,x-y,-z'
loop_
_atom_site_label
_atom_site_type_symbol
_atom_site_fract_x
_atom_site_fract_y
_atom_site_fract_z
_atom_site_occupancy
Zr1 Zr 0.0000 0.0000 0.0000 1
Tc1 Tc 0.6667 0.3333 0.0000 1
Hg1 Hg 0.3333 0.6667 0.5000 1
O1 O 0.3576 0.0535 0.7780 1

---

# MgZrPb2 PBE relaxed
# ρ: 8.3 Mg/m³
# volume: 26.6 Å³ per atom
# E: -4.372 eV per atom
# total moment: 0.00 Bohr magnetons per cell
data_MgZrPb2
_cell_length_a 3.237
_cell_length_b 3.237
_cell_length_c 10.165
_cell_angle_alpha 90.00
_cell_angle_beta 90.00
_cell_angle_gamma 90.00
_space_group_name_H-M_alt 'P 4 m m'
_space_group_IT_number 99
loop_
_space_group_symop_operation_xyz
'x,y,z'
'-y,x,z'
'-x,-y,z'
'y,-x,z'
'-x,y,z'
'y,x,z'
'x,-y,z'
'-y,-x,z'
loop_
_atom_site_label
_atom_site_type_symbol
_atom_site_fract_x
_atom_site_fract_y
_atom_site_fract_z
_atom_site_occupancy
Mg1 Mg 0.000 0.000 0.000 1
Zr1 Zr 0.500 0.500 0.783 1
Pb1 Pb 0.000 0.000 0.551 1
Pb2 Pb 0.500 0.500 0.237 1

---

# PrScTe2Br PBE relaxed
# ρ: 6.0 Mg/m³
# volume: 28.8 Å³ per atom
# E: -5.150 eV per atom
# formation energy without anion corrections: -1.337 eV/atom
# total moment: 0.00 Bohr magnetons per cell
data_PrScTe2Br
_cell_length_a 4.418
_cell_length_b 4.418
_cell_length_c 14.772
_cell_angle_alpha 90.00
_cell_angle_beta 90.00
_cell_angle_gamma 90.00
_space_group_name_H-M_alt 'P 4/n m m'
_space_group_IT_number 129
loop_
_space_group_symop_operation_xyz
'x,y,z'
'-x,-y,-z'
'-y+1/2,x,z'
'y+1/2,-x,-z'
'-x+1/2,-y+1/2,z'
'x+1/2,y+1/2,-z'
'y,-x+1/2,z'
'-y,x+1/2,-z'
'x+1/2,-y,-z'
'-x+1/2,y,z'
'-y,-x,-z'
'y,x,z'
'-x,y+1/2,-z'
'x,-y+1/2,z'
'y+1/2,x+1/2,-z'
'-y+1/2,-x+1/2,z'
loop_
_atom_site_label
_atom_site_type_symbol
_atom_site_fract_x
_atom_site_fract_y
_atom_site_fract_z
_atom_site_occupancy
Pr1 Pr 0.250 0.250 0.148 1
Sc1 Sc 0.250 0.250 0.584 1
Te1 Te 0.250 0.250 0.388 1
Te2 Te 0.250 0.250 0.784 1
Br1 Br 0.250 0.750 0.000 1

---

# CaTaAg2 PBE relaxed
# energy above the lowest structure with this stoichiometry: 75 meV per atom
# ρ: 8.9 Mg/m³
# volume: 20.3 Å³ per atom
# E: -4.551 eV per atom
# total moment: 0.00 Bohr magnetons per cell
data_CaTaAg2
_cell_length_a 10.913
_cell_length_b 2.918
_cell_length_c 5.277
_cell_angle_alpha 90.00
_cell_angle_beta 105.24
_cell_angle_gamma 90.00
_space_group_name_H-M_alt 'C 1 m 1'
_space_group_IT_number 8
loop_
_space_group_symop_operation_xyz
'x,y,z'
'x,-y,z'
'x+1/2,y+1/2,z'
'x+1/2,-y+1/2,z'
loop_
_atom_site_label
_atom_site_type_symbol
_atom_site_fract_x
_atom_site_fract_y
_atom_site_fract_z
_atom_site_occupancy
Ca1 Ca 0.000 0.000 0.000 1
Ta1 Ta 0.212 0.000 0.613 1
Ag1 Ag 0.256 0.500 0.136 1
Ag2 Ag 0.466 0.000 0.491 1

---

# NaLiGaHg PBE relaxed
# energy above the lowest structure with this stoichiometry: 0 meV per atom
# ρ: 6.3 Mg/m³
# volume: 19.7 Å³ per atom
# E: -1.846 eV per atom
# total moment: 0.00 Bohr magnetons per cell
data_NaLiGaHg
_cell_length_a 6.811
_cell_length_b 6.811
_cell_length_c 6.811
_cell_angle_alpha 90.00
_cell_angle_beta 90.00
_cell_angle_gamma 90.00
_space_group_name_H-M_alt 'F -4 3 m'
_space_group_IT_number 216
_space_group_name_Hall 'F -4 2 3'
loop_
_atom_site_label
_atom_site_type_symbol
_atom_site_fract_x
_atom_site_fract_y
_atom_site_fract_z
_atom_site_occupancy
Na1 Na 0.000 0.000 0.000 1
Li1 Li 0.250 0.250 0.750 1
Ga1 Ga 0.250 0.250 0.250 1
Hg1 Hg 0.000 0.000 0.500 1